# CaPm12Sn6 (GGA-PBE, optimized geometry)
data_CaPm12Sn6
_chemical_formula_sum 'Ca1 Pm12 Sn6'
_cell_length_a 9.147
_cell_length_b 9.147
_cell_length_c 9.147
_cell_angle_alpha 103.70
_cell_angle_beta 103.70
_cell_angle_gamma 103.70
_space_group_name_H-M_alt 'P 1'
_space_group_IT_number 1
_space_group_name_Hall 'P 1'
loop_
_atom_site_label
_atom_site_type_symbol
_atom_site_fract_x
_atom_site_fract_y
_atom_site_fract_z
_atom_site_occupancy
Ca1 Ca 0.000 0.000 0.000 1
Pm1 Pm 0.872 0.128 0.500 1
Pm2 Pm 0.825 0.553 0.553 1
Pm3 Pm 0.553 0.553 0.825 1
Pm4 Pm 0.447 0.175 0.447 1
Pm5 Pm 0.447 0.447 0.175 1
Pm6 Pm 0.175 0.447 0.447 1
Pm7 Pm 0.128 0.500 0.872 1
Pm8 Pm 0.500 0.872 0.128 1
Pm9 Pm 0.128 0.872 0.500 1
Pm10 Pm 0.872 0.500 0.128 1
Pm11 Pm 0.500 0.128 0.872 1
Pm12 Pm 0.553 0.825 0.553 1
Sn1 Sn 0.689 0.243 0.243 1
Sn2 Sn 0.243 0.243 0.689 1
Sn3 Sn 0.243 0.689 0.243 1
Sn4 Sn 0.757 0.757 0.311 1
Sn5 Sn 0.311 0.757 0.757 1
Sn6 Sn 0.757 0.311 0.757 1
# * electronic total energy: -89.916 eV/f.u.
# * D(E_F): 1.181 states/eV per atom
# * calculated volume: 687 Å³/f.u.
# * energy of formation from the pure elements: -363 meV per atom